Record 1
Here is crystalline SmHfSc2 at its relaxed geometry from Alexandria via LeMat-Bulk. Energies are from GGA-PBE.

Output
The calculation puts the total magnetization at 0.00 μB/cell. The value obtained for the formation energy is 0.085 eV per atom. For the energy above the most stable polymorph in this dataset, the calculation gives 1 meV/atom. Its theoretical density is 6764 kg/m³.

a = 3.3208 Å, b = 3.3208 Å, c = 32.2942 Å
α = 90.00°, β = 90.00°, γ = 120.00°
Space group R3m (No. 160, hexagonal axes)
Unique sites:
Sm  0.0000  0.0000  0.0000 (multiplicity 3)
Hf  0.0000  0.0000  0.1654 (multiplicity 3)
Sc  0.0000  0.0000  0.5761 (multiplicity 3)
Sc  0.0000  0.0000  0.7553 (multiplicity 3)

=====

Record 2
Here is crystalline CsRb2HgF6 at its relaxed geometry from Alexandria via LeMat-Bulk. Energies are from GGA-PBE.

Output
The value obtained for the formation energy without anion corrections is -2141 meV/atom. The calculation puts the total magnetization at 2.07 μB/cell. For the energy above the most stable polymorph in this dataset, the calculation gives 0 meV/atom. Its theoretical density is 4496 kg/m³.

a = 6.708 Å, b = 7.120 Å, c = 11.588 Å
α = 90.00°, β = 124.37°, γ = 90.00°
Space group P2_1/c (No. 14)
Unique sites:
Cs  0.000  0.000  0.000 (multiplicity 2)
Rb  0.222  0.047  0.738 (multiplicity 4)
Hg  0.500  0.000  0.500 (multiplicity 2)
F  0.192  0.167  0.462 (multiplicity 4)
F  0.245  0.748  0.410 (multiplicity 4)
F  0.410  0.081  0.290 (multiplicity 4)